{
  "formula": "Al3NiAu",
  "functional": "PBE-GGA",
  "state": "relaxed",
  "cell": [[4.7701, 0.0000, 0.0000], [0.0000, 4.7701, 0.0000], [0.0000, 0.0000, 4.7701]],
  "species": ["Al", "Al", "Al", "Ni", "Au"],
  "fractional_positions": [[0.0000, 0.0000, 0.5000], [0.0000, 0.5000, 0.0000], [0.5000, 0.0000, 0.0000], [0.5000, 0.5000, 0.5000], [0.0000, 0.0000, 0.0000]],
  "e_above_lowest_polymorph_kcal_per_mol_atoms": 20.44,
  "sg": "Pm-3m, No. 221",
  "rho_g_cm3": 5.1,
  "ef_ev_per_atom": 0.580
}